1.
VASP calculation (PBE-GGA) on an optimized crystal structure of NdScF5.

Calculated values
N(E_F) = 4.3 states/eV per cell
formation energy from raw total energies = -3.7201 eV/atom
crystal system = monoclinic
electronic total energy = -185.99 eV/cell

Lattice parameters (Å, degrees): 9.511 6.986 8.022 90.00 114.42 90.00
Space group C2/c (No. 15)
Asymmetric unit:
1 Nd 0.000 0.018 0.250 x4
2 Sc 0.000 0.500 0.000 x4
3 F 0.000 0.360 0.250 x4
4 F 0.002 0.184 0.986 x8
5 F 0.236 0.494 0.618 x8

---

2.
VASP calculation (PBE-GGA) on an optimized crystal structure of NdSc2F.

Calculated values
N(E_F) = 15.7 states/eV per cell
formation energy from raw total energies = -0.8453 eV/atom
crystal system = trigonal
electronic total energy = -68.05 eV/cell

Lattice parameters (Å, degrees): 3.4279 3.4279 26.5247 90.00 90.00 120.00
Space group R-3m (No. 166, hexagonal axes)
Asymmetric unit:
1 Nd 0.0000 0.0000 0.0000 x3
2 Sc 0.0000 0.0000 0.1205 x6
3 F 0.0000 0.0000 0.5000 x3

---

3.
VASP calculation (PBE-GGA) on an optimized crystal structure of Nd3Se3F2.

Calculated values
N(E_F) = 9.4 states/eV per cell
formation energy from raw total energies = -2.5273 eV/atom
crystal system = orthorhombic
electronic total energy = -194.87 eV/cell

Lattice parameters (Å, degrees): 3.898 12.957 14.208 90.00 90.00 90.00
Space group Cmcm (No. 63)
Asymmetric unit:
1 Nd 0.000 0.125 0.051 x8
2 Nd 0.000 0.151 0.750 x4
3 Se 0.000 0.178 0.250 x4
4 Se 0.000 0.450 0.109 x8
5 F 0.000 0.255 0.571 x8

---

4.
VASP calculation (PBE-GGA) on an optimized crystal structure of Nd4Se5F.

Calculated values
N(E_F) = 4.3 states/eV per cell
formation energy from raw total energies = -1.9759 eV/atom
crystal system = monoclinic
electronic total energy = -116.25 eV/cell

Lattice parameters (Å, degrees): 17.734 4.171 7.436 90.00 94.83 90.00
Space group C2/m (No. 12)
Asymmetric unit:
1 Nd 0.013 0.000 0.235 x4
2 Nd 0.223 0.500 0.242 x4
3 Se 0.000 0.500 0.500 x2
4 Se 0.146 0.000 0.987 x4
5 Se 0.161 0.000 0.461 x4
6 F 0.000 0.500 0.000 x2

---

5.
VASP calculation (PBE-GGA) on an optimized crystal structure of Nd2SeF4.

Calculated values
N(E_F) = 0.0 states/eV per cell
formation energy from raw total energies = -3.5532 eV/atom
crystal system = tetragonal
electronic total energy = -90.76 eV/cell

Lattice parameters (Å, degrees): 7.556 7.556 3.921 90.00 90.00 90.00
Space group P4_2/mnm (No. 136)
Asymmetric unit:
1 Nd 0.221 0.221 0.000 x4
2 Se 0.000 0.000 0.500 x2
3 F 0.088 0.671 0.000 x8

---

6.
VASP calculation (PBE-GGA) on an optimized crystal structure of Nd4Se3F4.

Calculated values
N(E_F) = 11.6 states/eV per cell
formation energy from raw total energies = -2.7971 eV/atom
crystal system = orthorhombic
electronic total energy = -135.56 eV/cell

Lattice parameters (Å, degrees): 3.839 8.132 14.016 90.00 90.00 90.00
Space group Immm (No. 71)
Asymmetric unit:
1 Nd 0.000 0.000 0.218 x4
2 Nd 0.000 0.219 0.500 x4
3 Se 0.000 0.000 0.000 x2
4 Se 0.000 0.500 0.117 x4
5 F 0.000 0.325 0.323 x8

---

7.
VASP calculation (PBE-GGA) on an optimized crystal structure of Nd2SeF.

Calculated values
N(E_F) = 8.9 states/eV per cell
formation energy from raw total energies = -1.9719 eV/atom
crystal system = trigonal
electronic total energy = -68.34 eV/cell

Lattice parameters (Å, degrees): 3.9738 3.9738 19.8480 90.00 90.00 120.00
Space group R-3m (No. 166, hexagonal axes)
Asymmetric unit:
1 Nd 0.0000 0.0000 0.2408 x6
2 Se 0.0000 0.0000 0.0000 x3
3 F 0.0000 0.0000 0.5000 x3

---

8.
VASP calculation (PBE-GGA) on an optimized crystal structure of SrNdSe2F.

Calculated values
N(E_F) = 4.4 states/eV per cell
formation energy from raw total energies = -2.4785 eV/atom
crystal system = tetragonal
electronic total energy = -55.36 eV/cell

Lattice parameters (Å, degrees): 4.197 4.197 14.879 90.00 90.00 90.00
Space group P4/nmm (No. 129, origin choice 2)
Asymmetric unit:
1 Sr 0.250 0.250 0.094 x2
2 Nd 0.250 0.250 0.626 x2
3 Se 0.250 0.250 0.408 x2
4 Se 0.250 0.250 0.808 x2
5 F 0.250 0.750 0.000 x2